No. 1
5
Lattice="-3.688 3.161 -2.378 2.358 -0.854 -4.791 -3.176 -4.304 -0.796" Properties=species:S:1:pos:R:3 comment="TaPdI3 (GGA-PBE, relaxed)" space_group="Pm-3m, No. 221" e_above_lowest_polymorph_mev_per_atom=371 final_energy_ev_per_atom=-3.340 dos_at_fermi_per_ev_cell=6.302 vol_a3_per_cell=158 pbc="T T T"
Ta -2.253 -0.998 -3.983
Pd 0.000 0.000 0.000
I 1.179 -0.427 -2.396
I -1.844 1.580 -1.189
I -1.588 -2.152 -0.398

No. 2
8
Lattice="-1.764 -4.487 -6.289 4.142 -2.967 6.098 -6.537 1.950 2.864" Properties=species:S:1:pos:R:3 comment="TaPdI6 (GGA-PBE, relaxed)" space_group="C2/m, No. 12" final_energy_ev_per_atom=-3.578 dos_at_fermi_per_ev_cell=4.486 vol_a3_per_cell=339 pbc="T T T"
I 1.958 -3.139 1.766
I -2.073 -1.574 -0.674
I -2.086 -3.930 3.346
Pd 0.000 0.000 0.000
I -1.207 -1.508 6.600
I 0.421 -4.315 -1.957
Ta -0.882 -2.243 -3.145
I -2.952 -3.997 -3.927

No. 3
8
Lattice="6.577 0.000 0.000 0.000 6.577 0.000 3.289 3.289 5.701" Properties=species:S:1:pos:R:3 comment="TaPdI2 (GGA-PBE, relaxed)" space_group="I-42d, No. 122" e_above_lowest_polymorph_mev_per_atom=71 final_energy_ev_per_atom=-4.341 dos_at_fermi_per_ev_cell=6.178 vol_a3_per_cell=247 pbc="T T T"
Ta 0.000 0.000 0.000
Ta 6.577 3.289 2.850
I 8.222 8.178 4.275
I 4.890 1.644 1.425
Pd 3.289 6.577 2.850
I 1.688 4.933 1.425
I 4.933 4.976 4.275
Pd 3.289 3.289 0.000